No. 1
The following is a PBE calculation of YEr2Tm3As6 after structural relaxation, from the Alexandria database.

abc: 9.1204 9.1204 8.1576
angles: 102.89 102.89 25.85
Closest atoms and distances in Å follow each position.
Sites, in units of the cell vectors:
Y 0.0000 0.0000 0.0000  6 As 2.90
Er 0.3331 0.3331 0.6664  6 As 2.89
Er 0.6669 0.6669 0.3336  6 As 2.89
Tm 0.0000 0.0000 0.5000  6 As 2.87-2.88
Tm 0.3335 0.3335 0.1669  6 As 2.87-2.88
Tm 0.6665 0.6665 0.8331  6 As 2.87-2.88
As 0.1664 0.1664 0.5840  3 Tm 2.88, 3 Er 2.89
As 0.1677 0.1677 0.0831  3 Tm 2.87-2.88, 2 Er 2.89, 1 Y 2.90
As 0.4998 0.4998 0.2528  3 Tm 2.87-2.88, 1 Er 2.89, 2 Y 2.90
As 0.5002 0.5002 0.7472  3 Tm 2.87-2.88, 1 Er 2.89, 2 Y 2.90
As 0.8323 0.8323 0.9169  3 Tm 2.87-2.88, 2 Er 2.89, 1 Y 2.90
As 0.8336 0.8336 0.4160  3 Tm 2.88, 3 Er 2.89

The magnetic moment is 0.00 μB per atom. The volume is 288.01 Å³/f.u. For the formation enthalpy at 0 K, the calculation gives -18.22 eV/f.u. As for the symmetry: C2/m, No. 12.

=====

No. 2
The following is a PBE calculation of TiCu2Pd8 after structural relaxation, from the Alexandria database.

abc: 7.2225 7.2225 6.1659
angles: 105.64 105.64 31.89
Closest atoms and distances in Å follow each position.
Sites, in units of the cell vectors:
Ti 0.0000 0.0000 0.0000  12 Pd 2.70-2.78
Cu 0.2733 0.2733 0.3632  10 Pd 2.68-2.81, 2 Cu 2.79
Cu 0.7267 0.7267 0.6368  10 Pd 2.68-2.81, 2 Cu 2.79
Pd 0.0952 0.0952 0.4532  3 Cu 2.68-2.72, 1 Ti 2.74, 8 Pd 2.74-2.86
Pd 0.1806 0.1806 0.9153  3 Cu 2.70-2.81, 1 Ti 2.70, 8 Pd 2.75-2.77
Pd 0.3617 0.3617 0.8121  3 Cu 2.69-2.74, 7 Pd 2.73-2.77, 2 Ti 2.78
Pd 0.4546 0.4546 0.2685  9 Pd 2.73-2.83, 1 Cu 2.74, 2 Ti 2.77
Pd 0.5454 0.5454 0.7315  9 Pd 2.73-2.83, 1 Cu 2.74, 2 Ti 2.77
Pd 0.6383 0.6383 0.1879  3 Cu 2.69-2.74, 7 Pd 2.73-2.77, 2 Ti 2.78
Pd 0.8194 0.8194 0.0847  3 Cu 2.70-2.81, 1 Ti 2.70, 8 Pd 2.75-2.77
Pd 0.9048 0.9048 0.5468  3 Cu 2.68-2.72, 1 Ti 2.74, 8 Pd 2.74-2.86

The magnetic moment is 0.00 μB per atom. The volume is 163.12 Å³/f.u. For the formation enthalpy at 0 K, the calculation gives -3.20 eV/f.u. As for the symmetry: C2/m, No. 12.

=====

No. 3
The following is a PBE calculation of GdHoInOs after structural relaxation, from the Alexandria database.

abc: 5.0532 5.0532 5.0532
angles: 60.00 60.00 60.00
Closest atoms and distances in Å follow each position.
Sites, in units of the cell vectors:
Gd 0.0000 0.0000 0.0000  4 In 3.09, 4 Os 3.09
Ho 0.5000 0.5000 0.5000  4 In 3.09, 4 Os 3.09
In 0.2500 0.2500 0.2500  4 Gd 3.09, 4 Ho 3.09
Os 0.7500 0.7500 0.7500  4 Ho 3.09, 4 Gd 3.09

The magnetic moment is 1.74 μB per atom. The volume is 91.24 Å³/f.u. For the formation enthalpy at 0 K, the calculation gives -0.90 eV/f.u. As for the symmetry: F-43m, No. 216.

=====

No. 4
The following is a PBE calculation of Hg2PbBr after structural relaxation, from the Alexandria database.

abc: 3.7494 3.7494 9.3595
angles: 90.00 90.00 109.75
Closest atoms and distances in Å follow each position.
Sites, in units of the cell vectors:
Hg 0.0000 0.0000 0.0000  2 Hg 3.08, 2 Br 3.37
Hg 0.5000 0.5000 0.2342  2 Hg 3.08, 2 Pb 3.27
Pb 0.0000 0.0000 0.4963  2 Br 3.03, 2 Hg 3.27
Br 0.5000 0.5000 0.7233  2 Pb 3.03, 2 Hg 3.37

The magnetic moment is 0.00 μB per atom. The volume is 123.84 Å³/f.u. The calculation puts the uncorrected formation energy at -0.1729 eV/atom. As for the symmetry: Cmm2, No. 35.

=====

No. 5
The following is a PBE calculation of In2AgIr after structural relaxation, from the Alexandria database.

abc: 4.7701 4.7701 5.5116
angles: 100.31 100.31 38.66
Closest atoms and distances in Å follow each position.
Sites, in units of the cell vectors:
In 0.2420 0.2420 0.2342  3 Ir 2.80-2.86, 3 Ag 2.85-2.96, 2 In 3.05
In 0.7580 0.7580 0.7658  3 Ir 2.80-2.86, 3 Ag 2.85-2.96, 2 In 3.05
Ag 0.0000 0.0000 0.5000  6 In 2.85-2.96, 2 Ag 3.16, 4 Ir 3.18
Ir 0.5000 0.5000 0.0000  6 In 2.80-2.86

The magnetic moment is 0.00 μB per atom. The volume is 76.92 Å³/f.u. For the formation enthalpy at 0 K, the calculation gives 0.43 eV/f.u. As for the symmetry: C2/m, No. 12.

=====

No. 6
The following is a PBE calculation of UTiGe2 after structural relaxation, from the Alexandria database.

abc: 3.4999 3.4999 6.1285
angles: 90.00 90.00 90.00
Closest atoms and distances in Å follow each position.
Sites, in units of the cell vectors:
U 0.0000 0.0000 0.0000  8 Ge 3.05, 2 Ti 3.06
Ti 0.0000 0.0000 0.5000  8 Ge 2.79, 2 U 3.06
Ge 0.5000 0.5000 0.2902  1 Ge 2.57, 4 Ti 2.79
Ge 0.5000 0.5000 0.7098  1 Ge 2.57, 4 Ti 2.79

The magnetic moment is 0.68 μB per atom. The volume is 75.07 Å³/f.u. For the formation enthalpy at 0 K, the calculation gives -1.11 eV/f.u. As for the symmetry: P4/mmm, No. 123.

=====

No. 7
The following is a PBE calculation of La6Ni2AuI3 after structural relaxation, from the Alexandria database.

abc: 7.4541 7.4541 8.5364
angles: 98.39 98.39 120.08
Closest atoms and distances in Å follow each position.
Sites, in units of the cell vectors:
La 0.0823 0.4363 0.8113  2 Ni 2.86, 1 Au 3.06
La 0.2089 0.2089 0.1873  2 Ni 2.86, 1 Au 3.05
La 0.4363 0.0823 0.8113  2 Ni 2.86, 1 Au 3.06
La 0.5637 0.9177 0.1887  2 Ni 2.86, 1 Au 3.06
La 0.7911 0.7911 0.8127  2 Ni 2.86, 1 Au 3.05
La 0.9177 0.5637 0.1887  2 Ni 2.86, 1 Au 3.06
Ni 0.1671 0.8329 0.0000  6 La 2.86
Ni 0.8329 0.1671 0.0000  6 La 2.86
Au 0.5000 0.5000 0.0000  6 La 3.05-3.06
I 0.0000 0.0000 0.5000  6 La 3.46-3.61
I 0.3368 0.6632 0.5000  6 La 3.47-3.62
I 0.6632 0.3368 0.5000  6 La 3.47-3.62

The magnetic moment is 0.00 μB per atom. The volume is 392.54 Å³/f.u. The calculation puts the uncorrected formation energy at -0.7923 eV/atom. As for the symmetry: C2/m, No. 12.

=====

No. 8
The following is a PBE calculation of V2SnSbTe after structural relaxation, from the Alexandria database.

abc: 5.0973 5.0973 5.8820
angles: 90.00 90.00 90.00
Closest atoms and distances in Å follow each position.
Sites, in units of the cell vectors:
V 0.0000 0.5000 0.0000  2 Te 2.55
V 0.5000 0.0000 0.0000  2 Te 2.55
Sn 0.0000 0.0000 0.5000  2 Te 2.94
Sb 0.5000 0.5000 0.5000  4 Sn 3.60, 8 V 3.89
Te 0.0000 0.0000 0.0000  4 V 2.55

The magnetic moment is 1.39 μB per atom. The volume is 152.83 Å³/f.u. The calculation puts the uncorrected formation energy at 0.9488 eV/atom. As for the symmetry: P4/mmm, No. 123.